First-principles (PBE) data for a relaxed structure of Cs3Mg2InCl9, as listed in Alexandria via LeMat-Bulk.

Density of states at the Fermi level in states/eV per cell: 3.1
Raw formation energy in kcal/mol of atoms: -39.810

Cell lengths 7.4262, 7.4262, 9.1183 Å; angles 90.00, 90.00, 120.00 degrees
Closest atoms and distances in Å follow each position.
Space group P-3m1 (No. 164)
Inequivalent atoms, fractional coordinates:
Cs 0.0000 0.0000 0.0000 [1 per cell]  12 Cl 3.71
Cs 0.3333 0.6667 0.6655 [2 per cell]  12 Cl 3.72-3.73
Mg 0.3333 0.6667 0.1554 [2 per cell]  6 Cl 2.56-2.57
In 0.0000 0.0000 0.5000 [1 per cell]  6 Cl 2.76
Cl 0.0000 0.5000 0.0000 [3 per cell]  2 Mg 2.57
Cl 0.1745 0.3490 0.3238 [6 per cell]  1 Mg 2.56, 1 In 2.76